# PmHo2Sc2 PBE optimized geometry
data_PmHo2Sc2
_chemical_formula_sum 'Pm8 Ho16 Sc16'
_cell_length_a 5.632
_cell_length_b 11.067
_cell_length_c 21.303
_cell_angle_alpha 90.00
_cell_angle_beta 90.00
_cell_angle_gamma 90.00
_symmetry_space_group_name_H-M 'F d d d'
_symmetry_Int_Tables_number 70
loop_
_symmetry_equiv_pos_as_xyz
'x,y,z'
'-x,-y,-z'
'-x+1/4,-y+1/4,z'
'x+1/4,y+1/4,-z'
'x,-y+1/4,-z+1/4'
'-x,y+1/4,z+1/4'
'-x+1/4,y,-z+1/4'
'x+1/4,-y,z+1/4'
'x,y+1/2,z+1/2'
'-x,-y+1/2,-z+1/2'
'-x+1/4,-y+3/4,z+1/2'
'x+1/4,y+3/4,-z+1/2'
'x,-y+3/4,-z+3/4'
'-x,y+3/4,z+3/4'
'-x+1/4,y+1/2,-z+3/4'
'x+1/4,-y+1/2,z+3/4'
'x+1/2,y,z+1/2'
'-x+1/2,-y,-z+1/2'
'-x+3/4,-y+1/4,z+1/2'
'x+3/4,y+1/4,-z+1/2'
'x+1/2,-y+1/4,-z+3/4'
'-x+1/2,y+1/4,z+3/4'
'-x+3/4,y,-z+3/4'
'x+3/4,-y,z+3/4'
'x+1/2,y+1/2,z'
'-x+1/2,-y+1/2,-z'
'-x+3/4,-y+3/4,z'
'x+3/4,y+3/4,-z'
'x+1/2,-y+3/4,-z+1/4'
'-x+1/2,y+3/4,z+1/4'
'-x+3/4,y+1/2,-z+1/4'
'x+3/4,-y+1/2,z+1/4'
loop_
_atom_site_label
_atom_site_type_symbol
_atom_site_fract_x
_atom_site_fract_y
_atom_site_fract_z
Pm1 Pm 0.125 0.125 0.125
Ho1 Ho 0.125 0.292 0.625
Sc1 Sc 0.000 0.000 0.000
# Calculated density, g/cm3: 5.651
# Crystal system: orthorhombic
# Energy above the lowest structure with this stoichiometry, meV per atom: 487
# ΔH_f (0 K), eV/atom: 0.537